Entry 1:
ZrNiSeBr2 after structural relaxation, computed with PBE-GGA.

a b c (Å): 5.318 5.318 5.209
angles (deg): 90.00 90.00 90.00
Last column: magnetic moment on the atom in μB.
Fractional coordinates of all 5 atoms:
Ni1 0.500 0.500 0.500  0.90
Se1 0.000 0.000 0.500  0.00
Br1 0.000 0.500 0.000  0.00
Br2 0.500 0.000 0.000  0.00
Zr1 0.000 0.000 0.000  0.01

energy relative to the elements, uncorrected: -0.17 eV/f.u.
total energy: -4.27 eV/atom
size of the total moment: 1.0 Bohr magnetons per cell
E above lowest polymorph: 0 meV/atom

Entry 2:
ZrNiSe2Br after structural relaxation, computed with PBE-GGA.

a b c (Å): 5.226 5.226 5.278
angles (deg): 90.00 90.00 90.00
Last column: magnetic moment on the atom in μB.
Fractional coordinates of all 5 atoms:
Ni1 0.500 0.500 0.500  0.93
Se1 0.000 0.500 0.000  0.04
Se2 0.500 0.000 0.000  0.04
Br1 0.000 0.000 0.500  0.00
Zr1 0.000 0.000 0.000  -0.01

energy relative to the elements, uncorrected: 0.04 eV/f.u.
total energy: -4.59 eV/atom
size of the total moment: 1.1 Bohr magnetons per cell
E above lowest polymorph: 38 meV/atom

Entry 3:
ZrNiSeBr2 after structural relaxation, computed with PBE-GGA.

a b c (Å): 4.721 4.721 4.962
angles (deg): 90.00 90.00 90.00
Last column: magnetic moment on the atom in μB.
Fractional coordinates of all 5 atoms:
Ni1 0.000 0.000 0.000  -0.10
Se1 0.000 0.000 0.500  -0.08
Br1 0.000 0.500 0.000  -0.04
Br2 0.500 0.000 0.000  -0.04
Zr1 0.500 0.500 0.500  1.15

energy relative to the elements, uncorrected: 0.19 eV/f.u.
total energy: -4.19 eV/atom
size of the total moment: 1.4 Bohr magnetons per cell
E above lowest polymorph: 71 meV/atom

Entry 4:
Si2NiBr after structural relaxation, computed with PBE-GGA.

a b c (Å): 3.544 3.499 6.881
angles (deg): 90.95 90.00 90.00
Fractional coordinates of all 4 atoms:
Br1 0.000 0.735 0.581
Ni1 0.500 0.749 0.819
Si1 0.000 0.758 0.042
Si2 0.500 0.258 0.058

energy relative to the elements, uncorrected: 0.35 eV/f.u.
total energy: -4.49 eV/atom
size of the total moment: 0.0 Bohr magnetons per cell
E above lowest polymorph: 50 meV/atom

Entry 5:
Si2NiBr after structural relaxation, computed with PBE-GGA.

a b c (Å): 3.229 3.228 7.157
angles (deg): 90.00 90.00 90.00
Fractional coordinates of all 4 atoms:
Br1 0.000 0.000 0.587
Ni1 0.500 0.500 0.814
Si1 0.000 0.000 0.961
Si2 0.500 0.500 0.138

energy relative to the elements, uncorrected: 0.97 eV/f.u.
total energy: -4.33 eV/atom
size of the total moment: 0.0 Bohr magnetons per cell
E above lowest polymorph: 203 meV/atom

Entry 6:
SiNiBr2 after structural relaxation, computed with PBE-GGA.

a b c (Å): 6.200 6.200 5.057
angles (deg): 90.12 90.12 35.44
Fractional coordinates of all 4 atoms:
Br1 0.983 0.983 0.230
Br2 0.698 0.698 0.745
Ni1 0.615 0.615 0.322
Si1 0.203 0.203 0.202

energy relative to the elements, uncorrected: -0.23 eV/f.u.
total energy: -3.69 eV/atom
size of the total moment: 0.0 Bohr magnetons per cell
E above lowest polymorph: 87 meV/atom

Entry 7:
SiNiBr2 after structural relaxation, computed with PBE-GGA.

a b c (Å): 4.894 4.893 4.910
angles (deg): 63.95 82.81 115.93
Fractional coordinates of all 4 atoms:
Br1 0.000 0.000 0.000
Br2 0.500 0.000 0.500
Ni1 0.000 0.500 0.500
Si1 0.500 0.500 0.000

energy relative to the elements, uncorrected: 1.82 eV/f.u.
total energy: -3.18 eV/atom
size of the total moment: 0.0 Bohr magnetons per cell
E above lowest polymorph: 599 meV/atom

Entry 8:
SiNiBr after structural relaxation, computed with PBE-GGA.

a b c (Å): 4.276 4.276 4.276
angles (deg): 60.00 60.00 60.00
Fractional coordinates of all 3 atoms:
Br1 0.500 0.500 0.500
Ni1 0.750 0.750 0.750
Si1 0.000 0.000 0.000

energy relative to the elements, uncorrected: 1.33 eV/f.u.
total energy: -3.85 eV/atom
size of the total moment: 0.0 Bohr magnetons per cell
E above lowest polymorph: 507 meV/atom

Entry 9:
SiNiBr2 after structural relaxation, computed with PBE-GGA.

a b c (Å): 8.083 8.083 8.083
angles (deg): 156.20 152.23 36.89
Fractional coordinates of all 4 atoms:
Br1 0.985 0.985 0.000
Br2 0.741 0.241 0.500
Ni1 0.440 0.440 0.000
Si1 0.334 0.834 0.500

energy relative to the elements, uncorrected: 0.56 eV/f.u.
total energy: -3.50 eV/atom
size of the total moment: 0.0 Bohr magnetons per cell
E above lowest polymorph: 285 meV/atom

Entry 10:
SiNiBr2 after structural relaxation, computed with PBE-GGA.

a b c (Å): 8.489 8.489 8.489
angles (deg): 23.59 23.59 23.59
Last column: magnetic moment on the atom in μB.
Fractional coordinates of all 4 atoms:
Br1 0.978 0.978 0.978  0.14
Br2 0.522 0.522 0.522  0.14
Ni1 0.250 0.250 0.250  1.03
Si1 0.750 0.750 0.750  -0.02

energy relative to the elements, uncorrected: 1.39 eV/f.u.
total energy: -3.29 eV/atom
size of the total moment: 1.3 Bohr magnetons per cell
E above lowest polymorph: 493 meV/atom

Entry 11:
SiNiBr2 after structural relaxation, computed with PBE-GGA.

a b c (Å): 3.471 2.759 9.256
angles (deg): 90.00 90.00 90.00
Fractional coordinates of all 4 atoms:
Br1 0.000 0.000 0.929
Br2 0.500 0.500 0.323
Ni1 0.000 0.000 0.667
Si1 0.500 0.500 0.582

energy relative to the elements, uncorrected: -0.58 eV/f.u.
total energy: -3.78 eV/atom
size of the total moment: 0.0 Bohr magnetons per cell
E above lowest polymorph: 0 meV/atom

Entry 12:
SiNiBr2 after structural relaxation, computed with PBE-GGA.

a b c (Å): 3.390 6.156 4.075
angles (deg): 90.00 90.00 90.00
Fractional coordinates of all 4 atoms:
Br1 0.000 0.000 0.000
Br2 0.500 0.500 0.000
Ni1 0.500 0.000 0.500
Si1 0.000 0.500 0.500

energy relative to the elements, uncorrected: 2.13 eV/f.u.
total energy: -3.11 eV/atom
size of the total moment: 0.0 Bohr magnetons per cell
E above lowest polymorph: 677 meV/atom